First-principles (PBE) data for TcRh2Br after structural relaxation, as listed in Alexandria via LeMat-Bulk.

Geometry as POSCAR:
```
TcRh2Br
1.0
-1.446 2.340 4.594
1.446 -2.340 4.594
1.446 2.340 -4.594
Tc Rh Br
1 2 1
Direct
0.000 0.000 0.000
0.252 0.752 0.500
0.748 0.248 0.500
0.500 0.500 0.000
```

Fermi-level density of states in states/eV/cell: 5.5
Space-group type: Immm, No. 71
Theoretical density in g/cm³: 10.25
Total DFT energy (no corrections) in eV/atom: -6.033
Size of the total moment in μB per formula unit: 1.26
Formation energy from raw total energies in meV/atom: 652.2